Run P
# SmRuC2

Crystalline SmRuC2 at its relaxed geometry (GGA-PBE, Alexandria via LeMat-Bulk).

abc: 4.3731 5.2092 5.2934
angles: 90.00 90.00 114.82
Atoms (fractional coordinates):
Ru1 0.5000 0.0000 0.0000
C1 0.2385 0.1626 0.7500
C2 0.7615 0.8374 0.2500
C3 0.9241 0.1626 0.7500
C4 0.0759 0.8374 0.2500
Sm1 0.1843 0.3686 0.2500
Ru2 0.5000 0.0000 0.5000
Sm2 0.8157 0.6314 0.7500

DOS at the Fermi energy (states/eV/cell): 5.687
Symmetry: Cmcm

Run Q
# SmRuC2

Crystalline SmRuC2 at its relaxed geometry (GGA-PBE, Alexandria via LeMat-Bulk).

abc: 3.3533 3.3533 5.6384
angles: 72.70 72.70 60.00
Atoms (fractional coordinates):
Ru1 0.0000 0.0000 0.0000
C1 0.2696 0.2696 0.1913
C2 0.7304 0.7304 0.8087
Sm1 0.5000 0.5000 0.5000

DOS at the Fermi energy (states/eV/cell): 2.032
Symmetry: R-3m

Run R
# SmRuC2

Crystalline SmRuC2 at its relaxed geometry (GGA-PBE, Alexandria via LeMat-Bulk).

abc: 3.8580 3.9270 3.9270
angles: 105.45 90.00 90.00
Atoms (fractional coordinates):
C1 0.5000 0.8486 0.4443
Sm1 0.0000 0.9952 0.0048
Ru1 0.5000 0.3805 0.6195
C2 0.5000 0.5557 0.1514

DOS at the Fermi energy (states/eV/cell): 1.892
Symmetry: Amm2

Last place for stability: run Q

Run P
# SnRu2C

Crystalline SnRu2C at its relaxed geometry (GGA-PBE, Alexandria via LeMat-Bulk).

abc: 6.4846 6.4846 5.3544
angles: 52.73 52.73 90.00
Atoms (fractional coordinates):
C1 0.5000 0.5000 0.0000
Ru1 0.3750 0.4831 0.7500
Sn1 0.7500 0.2500 0.5000
Ru2 0.5169 0.1250 0.2500
C2 0.2500 0.7500 0.5000
Ru3 0.2331 0.6250 0.2500
Sn2 0.0000 0.0000 0.0000
Ru4 0.8750 0.7669 0.7500

DOS at the Fermi energy (states/eV/cell): 6.545
Symmetry: I-42d

Run Q
# SnRu2C

Crystalline SnRu2C at its relaxed geometry (GGA-PBE, Alexandria via LeMat-Bulk).

abc: 4.3019 4.3019 4.3019
angles: 60.00 60.00 60.00
Atoms (fractional coordinates):
Ru1 0.2500 0.2500 0.2500
Ru2 0.7500 0.7500 0.7500
Sn1 0.5000 0.5000 0.5000
C1 0.0000 0.0000 0.0000

DOS at the Fermi energy (states/eV/cell): 2.320
Symmetry: Fm-3m

Last place for stability: run Q

Run P
# SrRuC3

Crystalline SrRuC3 at its relaxed geometry (GGA-PBE, Alexandria via LeMat-Bulk).

abc: 4.3146 4.3146 4.3146
angles: 90.00 90.00 90.00
Atoms (fractional coordinates):
C1 0.0000 0.5000 0.0000
C2 0.5000 0.0000 0.0000
C3 0.0000 0.0000 0.5000
Sr1 0.0000 0.0000 0.0000
Ru1 0.5000 0.5000 0.5000

DOS at the Fermi energy (states/eV/cell): 8.597
Symmetry: Pm-3m

Run Q
# SrRuC3

Crystalline SrRuC3 at its relaxed geometry (GGA-PBE, Alexandria via LeMat-Bulk).

abc: 4.0642 4.0642 4.0642
angles: 90.00 90.00 90.00
Atoms (fractional coordinates):
C1 0.5000 0.0000 0.0000
C2 0.0000 0.5000 0.0000
C3 0.0000 0.0000 0.5000
Sr1 0.5000 0.5000 0.5000
Ru1 0.0000 0.0000 0.0000

DOS at the Fermi energy (states/eV/cell): 5.015
Symmetry: Pm-3m

Last place for stability: run P